LiThPd | PBE | relaxed

Total energy   -60.9 eV for the cell shown
Size of the total moment   0.001 μB/atom

Cell lengths 6.688, 6.688, 6.688 Å; angles 90.00, 90.00, 90.00 degrees
Space group F-43m (No. 216)
Symmetry-distinct sites (fractional):
Li: 0.000 0.000 0.000 [4 per cell]
Th: 0.000 0.000 0.500 [4 per cell]
Pd: 0.250 0.250 0.250 [4 per cell]